Record 1
Entry from Alexandria: crystalline AcTmAl2Ge2 at its relaxed geometry (GGA-PBE).

Lattice parameters (Å, degrees): 4.2593 4.2593 8.8608 90.00 90.00 120.00
Space group P-3m1 (No. 164)
Asymmetric unit:
Ac 0.0000 0.0000 0.0000
Tm 0.0000 0.0000 0.5000
Al 0.3333 0.6667 0.7492
Ge 0.3333 0.6667 0.2990

Computed properties:
Crystal system = trigonal
Calculated formation energy = -0.564 eV/atom
Magnetization = 0.0 μB/f.u.



Record 2
Entry from Alexandria: crystalline AcAlVGe2 at its relaxed geometry (GGA-PBE).

Lattice parameters (Å, degrees): 5.658 6.316 6.030 90.00 90.00 90.00
Space group Pmma (No. 51)
Asymmetric unit:
Ac 0.250 0.000 0.243
Al 0.250 0.500 0.375
V 0.000 0.500 0.000
Ge 0.250 0.266 0.740

Computed properties:
Crystal system = orthorhombic
Calculated formation energy = -0.340 eV/atom
Magnetization = 1.0 μB/f.u.



Record 3
Entry from Alexandria: crystalline Ac2AlGe6W at its relaxed geometry (GGA-PBE).

Lattice parameters (Å, degrees): 6.5387 6.5387 36.3276 90.00 90.00 120.00
Space group R-3m (No. 166, hexagonal axes)
Asymmetric unit:
Ac 0.0000 0.0000 0.1115
Ac 0.0000 0.0000 0.2898
Al 0.0000 0.0000 0.4272
Ge 0.0485 0.5243 0.2941
Ge 0.0710 0.5355 0.8672
W 0.0000 0.0000 0.0000
W 0.0000 0.0000 0.5000

Computed properties:
Crystal system = trigonal
Calculated formation energy = -0.247 eV/atom
Magnetization = 0.0 μB/f.u.